# 1
Here is a relaxed SmGdTmTl crystal from Alexandria via LeMat-Bulk. Energies are from PBE.

Cell lengths 7.7726, 7.7726, 7.7726 Å; angles 90.00, 90.00, 90.00 degrees
Last column: nearest neighbours and their distance in Å.
Space group F-43m (No. 216)
Asymmetric unit:
Sm: 0.0000 0.0000 0.0000 (multiplicity 4)  4 Tm 3.37, 4 Tl 3.37
Gd: 0.0000 0.0000 0.5000 (multiplicity 4)  4 Tl 3.37, 4 Tm 3.37
Tm: 0.2500 0.2500 0.7500 (multiplicity 4)  4 Gd 3.37, 4 Sm 3.37
Tl: 0.2500 0.2500 0.2500 (multiplicity 4)  4 Sm 3.37, 4 Gd 3.37

Summary:
**ΔE_f**: -0.075 eV per atom


# 2
Here is a relaxed LiZn2ReN4 crystal from Alexandria via LeMat-Bulk. Energies are from PBE.

Cell lengths 6.6543, 5.6183, 5.3566 Å; angles 90.00, 90.00, 90.00 degrees
Last column: nearest neighbours and their distance in Å.
Space group Pmn2_1 (No. 31)
Asymmetric unit:
Li: 0.0000 0.1621 0.0000 (multiplicity 2)  4 N 2.13-2.16
Zn: 0.2472 0.3293 0.5073 (multiplicity 4)  4 N 2.04-2.05
Re: 0.0000 0.8249 0.5061 (multiplicity 2)  4 N 1.83-1.84
N: 0.0000 0.1376 0.4021 (multiplicity 2)  1 Re 1.84, 2 Zn 2.05
N: 0.0000 0.8095 0.8475 (multiplicity 2)  1 Re 1.83, 2 Zn 2.04
N: 0.2258 0.6742 0.3876 (multiplicity 4)  1 Re 1.84, 2 Zn 2.05

Summary:
**Uncorrected formation energy**: -0.231 eV/atom


# 3
Here is a relaxed CaMg14Zr crystal from Alexandria via LeMat-Bulk. Energies are from PBE.

Cell lengths 9.5127, 9.5329, 8.2861 Å; angles 90.00, 90.00, 90.00 degrees
Last column: nearest neighbours and their distance in Å.
Space group Cmmm (No. 65)
Asymmetric unit:
Ca: 0.0000 0.0000 0.0000 (multiplicity 2)  12 Mg 3.27-3.37
Mg: 0.0000 0.0000 0.5000 (multiplicity 2)  12 Mg 3.19-3.37
Mg: 0.0000 0.2605 0.2575 (multiplicity 8)  8 Mg 3.04-3.23, 1 Zr 3.13, 1 Ca 3.27
Mg: 0.0000 0.5000 0.5000 (multiplicity 2)  12 Mg 3.04-3.37
Mg: 0.2395 0.5000 0.2575 (multiplicity 8)  8 Mg 3.04-3.23, 1 Zr 3.12, 1 Ca 3.27
Mg: 0.2500 0.2500 0.0000 (multiplicity 4)  8 Mg 3.20, 2 Zr 3.37, 2 Ca 3.37
Mg: 0.2500 0.2500 0.5000 (multiplicity 4)  12 Mg 3.11-3.37
Zr: 0.0000 0.5000 0.0000 (multiplicity 2)  12 Mg 3.12-3.37

Summary:
**ΔE_f**: 0.009 eV per atom


# 4
Here is a relaxed SrCr2Br crystal from Alexandria via LeMat-Bulk. Energies are from PBE.

Cell lengths 3.6618, 3.6618, 28.5004 Å; angles 90.00, 90.00, 120.00 degrees
Last column: nearest neighbours and their distance in Å.
Space group R-3m (No. 166, hexagonal axes)
Asymmetric unit:
Sr: 0.0000 0.0000 0.0000 (multiplicity 3)  6 Cr 3.47, 6 Sr 3.66
Cr: 0.0000 0.0000 0.2369 (multiplicity 6)  3 Br 2.91
Br: 0.0000 0.0000 0.5000 (multiplicity 3)  6 Cr 2.91

Summary:
**Uncorrected formation energy**: 0.644 eV/atom


# 5
Here is a relaxed AlTe2P2Pd7 crystal from Alexandria via LeMat-Bulk. Energies are from PBE.

Cell lengths 5.5567, 5.5559, 14.5638 Å; angles 90.00, 100.91, 90.00 degrees
Last column: nearest neighbours and their distance in Å.
Space group C2/m (No. 12)
Asymmetric unit:
Al: 0.0000 0.0000 0.0000 (multiplicity 2)  12 Pd 2.78-2.80
Te: 0.2068 0.0000 0.4152 (multiplicity 4)  5 Pd 2.74-2.80
P: 0.1142 0.5000 0.2307 (multiplicity 4)  5 Pd 2.33-2.36
Pd: 0.0000 0.5000 0.0000 (multiplicity 2)  4 Al 2.78, 8 Pd 2.80
Pd: 0.1812 0.2500 0.8606 (multiplicity 8)  2 P 2.36
Pd: 0.1958 0.5000 0.3936 (multiplicity 4)  1 P 2.33

Summary:
**Uncorrected formation energy**: -0.489 eV/atom


# 6
Here is a relaxed TbCe2Sn crystal from Alexandria via LeMat-Bulk. Energies are from PBE.

Cell lengths 7.7292, 7.7292, 7.7292 Å; angles 90.00, 90.00, 90.00 degrees
Last column: nearest neighbours and their distance in Å.
Space group Fm-3m (No. 225)
Asymmetric unit:
Tb: 0.0000 0.0000 0.0000 (multiplicity 4)  8 Ce 3.35
Ce: 0.2500 0.2500 0.2500 (multiplicity 8)  4 Tb 3.35, 4 Sn 3.35
Sn: 0.0000 0.0000 0.5000 (multiplicity 4)  8 Ce 3.35

Summary:
**ΔE_f**: -0.159 eV per atom